A relaxed structure of Lu15C19. Source: OQMD via LeMat-Bulk, functional PBE.

a = 7.9057 Å, b = 7.9057 Å, c = 15.1488 Å
α = 90.00°, β = 90.00°, γ = 90.00°
Positions (direct):
Lu  0.0000  0.0000  0.0000
Lu  0.0000  0.0000  0.3313
Lu  0.0000  0.0000  0.6687
Lu  0.0933  0.2968  0.4999
Lu  0.0983  0.7156  0.1488
Lu  0.0984  0.7158  0.8512
Lu  0.2032  0.4067  0.9999
Lu  0.2158  0.5984  0.3512
Lu  0.2156  0.5983  0.6488
Lu  0.2842  0.0984  0.1488
Lu  0.2844  0.0983  0.8512
Lu  0.2968  0.9067  0.5001
Lu  0.4017  0.2156  0.3512
Lu  0.4016  0.2158  0.6488
Lu  0.4067  0.7968  0.0001
Lu  0.5000  0.5000  0.1687
Lu  0.5000  0.5000  0.5000
Lu  0.5000  0.5000  0.8313
Lu  0.5933  0.2032  0.0001
Lu  0.5983  0.7844  0.3512
Lu  0.5984  0.7842  0.6488
Lu  0.7032  0.0933  0.5001
Lu  0.7158  0.9016  0.1488
Lu  0.7156  0.9017  0.8512
Lu  0.7842  0.4016  0.3512
Lu  0.7844  0.4017  0.6488
Lu  0.7968  0.5933  0.9999
Lu  0.9017  0.2844  0.1488
Lu  0.9016  0.2842  0.8512
Lu  0.9067  0.7032  0.4999
C  0.0000  0.0000  0.1633
C  0.0000  0.0000  0.5000
C  0.0000  0.0000  0.8367
C  0.0951  0.3034  0.3294
C  0.0951  0.3033  0.6687
C  0.1027  0.6977  0.9999
C  0.1505  0.3484  0.7493
C  0.1516  0.3495  0.2493
C  0.1967  0.4049  0.1687
C  0.1966  0.4049  0.8294
C  0.1977  0.6027  0.4999
C  0.3023  0.1027  0.0001
C  0.3033  0.9049  0.3313
C  0.3034  0.9049  0.6706
C  0.3484  0.8495  0.2507
C  0.3495  0.8484  0.7507
C  0.3973  0.1977  0.5001
C  0.4049  0.8034  0.1706
C  0.4049  0.8033  0.8313
C  0.5000  0.5000  0.0000
C  0.5000  0.5000  0.3367
C  0.5000  0.5000  0.6633
C  0.5951  0.1966  0.1706
C  0.5951  0.1967  0.8313
C  0.6027  0.8023  0.5001
C  0.6505  0.1516  0.7507
C  0.6516  0.1505  0.2507
C  0.6967  0.0951  0.3313
C  0.6966  0.0951  0.6706
C  0.6977  0.8973  0.0001
C  0.8023  0.3973  0.4999
C  0.8033  0.5951  0.1687
C  0.8034  0.5951  0.8294
C  0.8484  0.6505  0.2493
C  0.8495  0.6516  0.7493
C  0.8973  0.3023  0.9999
C  0.9049  0.6966  0.3294
C  0.9049  0.6967  0.6687

- VASP energy: -7.53 eV per atom
- M_tot: 0.00 μB/f.u.
- SG: P-42_1c (114)
- Calculated density: 10.0 g/cm³


A relaxed structure of SmGdNi2B2P2. Source: OQMD via LeMat-Bulk, functional PBE.

a = 3.9556 Å, b = 3.9556 Å, c = 7.8833 Å
α = 90.00°, β = 90.00°, γ = 90.00°
Positions (direct):
Sm  0.0000  0.0000  0.0000
Gd  0.5000  0.5000  0.4118
Ni  0.0000  0.5000  0.7052
Ni  0.5000  0.0000  0.7052
B  0.0000  0.0000  0.6148
B  0.5000  0.5000  0.7995
P  0.0000  0.0000  0.3676
P  0.5000  0.5000  0.0476

- VASP energy: -6.33 eV per atom
- M_tot: 0.00 μB/f.u.
- SG: P4mm (99)
- Calculated density: 6.8 g/cm³